## AgCI2N (PBE-GGA)

Data for AgCI2N after structural relaxation.

```
5
Lattice="5.7247 0.0000 0.0000 0.0000 5.7247 0.0000 0.0000 0.0000 4.1111" Properties=species:S:1:pos:R:3 pbc="T T T"
Ag 0.0000 0.0000 0.0000
C 2.8624 2.8624 2.0556
I 0.0000 2.8624 0.0000
I 2.8624 0.0000 0.0000
N 0.0000 0.0000 2.0556
```

## Properties
raw formation energy	2.26	eV per atom
excess energy over the best structure of this formula in the dataset	1321	meV/atom
calculated total energy	-2.444	eV per atom
Fermi-level density of states	3.54	states/eV per cell